Record 1
# ZnTe2PN, optimized geometry, DFT PBE
# calculated volume	21.653	Å³ per atom
# energy above the most stable polymorph in this dataset	564	meV per atom
# E_form (uncorrected)	1065	meV/atom
# Fermi-level density of states	3.42	states/eV/cell
data_ZnTe2PN
_chemical_formula_sum 'Zn1 Te2 P1 N1'
_cell_length_a 5.434
_cell_length_b 5.434
_cell_length_c 3.667
_cell_angle_alpha 90.00
_cell_angle_beta 90.00
_cell_angle_gamma 90.00
_symmetry_space_group_name_H-M 'P 4/m m m'
_symmetry_Int_Tables_number 123
_symmetry_space_group_name_Hall '-P 4 2'
loop_
_atom_site_label
_atom_site_type_symbol
_atom_site_fract_x
_atom_site_fract_y
_atom_site_fract_z
Zn1 Zn 0.000 0.000 0.000
Te1 Te 0.000 0.500 0.000
P1 P 0.500 0.500 0.500
N1 N 0.000 0.000 0.500



Record 2
# Tl8Te3Cl2, optimized geometry, DFT PBE
# calculated volume	38.146	Å³ per atom
# E_form (uncorrected)	-460	meV/atom
# Fermi-level density of states	0.20	states/eV/cell
data_Tl8Te3Cl2
_chemical_formula_sum 'Tl16 Te6 Cl4'
_cell_length_a 15.428
_cell_length_b 11.614
_cell_length_c 5.536
_cell_angle_alpha 90.00
_cell_angle_beta 90.62
_cell_angle_gamma 90.00
_symmetry_space_group_name_H-M 'C 1 2/m 1'
_symmetry_Int_Tables_number 12
loop_
_symmetry_equiv_pos_as_xyz
'x,y,z'
'-x,-y,-z'
'-x,y,-z'
'x,-y,z'
'x+1/2,y+1/2,z'
'-x+1/2,-y+1/2,-z'
'-x+1/2,y+1/2,-z'
'x+1/2,-y+1/2,z'
loop_
_atom_site_label
_atom_site_type_symbol
_atom_site_fract_x
_atom_site_fract_y
_atom_site_fract_z
Tl1 Tl 0.121 0.000 0.004
Tl2 Tl 0.127 0.231 0.503
Tl3 Tl 0.132 0.500 0.995
Te1 Te 0.000 0.000 0.500
Te2 Te 0.000 0.274 0.000
Cl1 Cl 0.227 0.500 0.494



Record 3
# Na3Np2PaN6, optimized geometry, DFT PBE
# calculated volume	15.229	Å³ per atom
# E_form (uncorrected)	-963	meV/atom
# Fermi-level density of states	23.42	states/eV/cell
data_Na3Np2PaN6
_chemical_formula_sum 'Na6 Np4 Pa2 N12'
_cell_length_a 15.218
_cell_length_b 3.525
_cell_length_c 6.977
_cell_angle_alpha 90.00
_cell_angle_beta 102.44
_cell_angle_gamma 90.00
_symmetry_space_group_name_H-M 'C 1 2/m 1'
_symmetry_Int_Tables_number 12
loop_
_symmetry_equiv_pos_as_xyz
'x,y,z'
'-x,-y,-z'
'-x,y,-z'
'x,-y,z'
'x+1/2,y+1/2,z'
'-x+1/2,-y+1/2,-z'
'-x+1/2,y+1/2,-z'
'x+1/2,-y+1/2,z'
loop_
_atom_site_label
_atom_site_type_symbol
_atom_site_fract_x
_atom_site_fract_y
_atom_site_fract_z
Na1 Na 0.000 0.000 0.000
Na2 Na 0.170 0.500 0.334
Np1 Np 0.168 0.500 0.836
Pa1 Pa 0.000 0.000 0.500
N1 N 0.018 0.500 0.717
N2 N 0.153 0.000 0.626
N3 N 0.183 0.000 0.045



Record 4
# AlRuRh2, optimized geometry, DFT PBE
# ΔH_f (0 K)	-402	meV per atom
# calculated volume	14.004	Å³ per atom
# Fermi-level density of states	8.43	states/eV/cell
data_AlRuRh2
_chemical_formula_sum 'Al2 Ru2 Rh4'
_cell_length_a 3.838
_cell_length_b 3.838
_cell_length_c 7.605
_cell_angle_alpha 90.00
_cell_angle_beta 90.00
_cell_angle_gamma 90.00
_symmetry_space_group_name_H-M 'I 4/m m m'
_symmetry_Int_Tables_number 139
_symmetry_space_group_name_Hall '-I 4 2'
loop_
_atom_site_label
_atom_site_type_symbol
_atom_site_fract_x
_atom_site_fract_y
_atom_site_fract_z
Al1 Al 0.000 0.000 0.000
Ru1 Ru 0.000 0.000 0.500
Rh1 Rh 0.000 0.500 0.250